ZnHgHPb2 at its PBEsol-relaxed geometry, computed with meta-GGA SCAN.

Unit cell a=3.3886 b=5.5586 c=5.5586 alpha=90.00 beta=90.00 gamma=90.00
Last column: nearest neighbours and their distance in Å.
Sites, in units of the cell vectors:
Pb 0.0000 0.0000 0.5000  2 Zn 2.78
Pb 0.0000 0.5000 0.0000  2 Zn 2.78
H 0.5000 0.0000 0.0000  2 Zn 1.69
Zn 0.0000 0.0000 0.0000  2 H 1.69
Hg 0.5000 0.5000 0.5000  8 Pb 3.26, 2 Hg 3.39

Computed properties:
- energy (eV/atom) = -47.152
- V (Å³/atom) = 20.940
- total magnetization (Bohr magnetons per cell) = 0.00

=====

SrCd4Pt2 at its PBEsol-relaxed geometry, computed with meta-GGA SCAN.

Unit cell a=4.4586 b=8.1772 c=8.1772 alpha=90.00 beta=90.00 gamma=90.00
Last column: nearest neighbours and their distance in Å.
Sites, in units of the cell vectors:
Sr 0.5000 0.5000 0.5000  6 Pt 3.27-3.36, 4 Cd 3.56
Sr 0.0000 0.0000 0.0000  6 Pt 3.27-3.36, 4 Cd 3.56
Cd 0.5000 0.3449 0.0937  3 Pt 2.75-2.76, 6 Cd 2.91-3.06
Cd 0.5000 0.6551 0.9063  3 Pt 2.75-2.76, 6 Cd 2.91-3.06
Cd 0.0000 0.8449 0.4063  3 Pt 2.75-2.76, 6 Cd 2.91-3.06
Cd 0.0000 0.1551 0.5937  3 Pt 2.75-2.76, 6 Cd 2.91-3.06
Cd 0.5000 0.0937 0.3449  3 Pt 2.75-2.76, 6 Cd 2.91-3.06
Cd 0.5000 0.9063 0.6551  3 Pt 2.75-2.76, 6 Cd 2.91-3.06
Cd 0.0000 0.4063 0.8449  3 Pt 2.75-2.76, 6 Cd 2.91-3.06
Cd 0.0000 0.5937 0.1551  3 Pt 2.75-2.76, 6 Cd 2.91-3.06
Pt 0.5000 0.7824 0.2176  6 Cd 2.75-2.76
Pt 0.5000 0.2176 0.7824  6 Cd 2.75-2.76
Pt 0.0000 0.2824 0.2824  6 Cd 2.75-2.76
Pt 0.0000 0.7176 0.7176  6 Cd 2.75-2.76

Computed properties:
- energy (eV/atom) = -41.157
- V (Å³/atom) = 21.295
- formation energy from the elements (meV per atom) = -540
- total magnetization (Bohr magnetons per cell) = 0.00

=====

Q: V of number 1 (ZnHgHPb2)?
A: 20.940 Å³/atom